1.
Material: CuTe2BrN
Method: DFT, PBE
State: optimized geometry

It has space group P4/mmm (No. 123), with a = 5.6251 Å, b = 5.6251 Å, c = 3.5317 Å, α = 90.00°, β = 90.00° and γ = 90.00°. Symmetry generates all atoms from Cu at (0.0000, 0.0000, 0.0000), Te at (0.0000, 0.5000, 0.0000), Br at (0.5000, 0.5000, 0.5000) and N at (0.0000, 0.0000, 0.5000).

Its energy relative to the elements, uncorrected is 819 meV/atom. The total moment comes out at 1.28 μB per cell. The energy above the lowest structure with this stoichiometry comes out at 0 meV per atom. As for the crystal system: tetragonal.



2.
Material: PrHoSc
Method: DFT, PBE
State: optimized geometry

It has space group P4/nmm (No. 129, origin choice 2), with a = 4.7826 Å, b = 4.7826 Å, c = 8.4473 Å, α = 90.00°, β = 90.00° and γ = 90.00°. Symmetry generates all atoms from Pr at (0.2500, 0.7500, 0.0000), Ho at (0.2500, 0.2500, 0.3170) and Sc at (0.2500, 0.2500, 0.7078).

The total moment comes out at 0.01 μB per cell. The energy above the lowest structure with this stoichiometry comes out at 241 meV per atom. As for the crystal system: tetragonal.



3.
Material: Pm2Ga3AgAu4
Method: DFT, PBE
State: optimized geometry

It has space group P-4m2 (No. 115), with a = 4.3095 Å, b = 4.3095 Å, c = 11.3611 Å, α = 90.00°, β = 90.00° and γ = 90.00°. Symmetry generates all atoms from Pm at (0.0000, 0.5000, 0.2403), Ga at (0.0000, 0.5000, 0.8710), Ga at (0.5000, 0.5000, 0.5000), Ag at (0.0000, 0.0000, 0.5000), Au at (0.0000, 0.0000, 0.0000), Au at (0.0000, 0.5000, 0.6513) and Au at (0.5000, 0.5000, 0.0000).

The total moment comes out at 0.00 μB per cell. The total energy is -40.12 eV per formula unit. As for the crystal system: tetragonal.



4.
Material: CaNdErAl
Method: DFT, PBE
State: optimized geometry

It has space group F-43m (No. 216), with a = 7.6871 Å, b = 7.6871 Å, c = 7.6871 Å, α = 90.00°, β = 90.00° and γ = 90.00°. Symmetry generates all atoms from Ca at (0.0000, 0.0000, 0.0000), Nd at (0.2500, 0.2500, 0.7500), Er at (0.2500, 0.2500, 0.2500) and Al at (0.0000, 0.0000, 0.5000).

The total moment comes out at 0.00 μB per cell. The total energy is -15.30 eV per formula unit. As for the crystal system: cubic.



5.
Material: CaWSe2Br
Method: DFT, PBE
State: optimized geometry

It has space group P4/mmm (No. 123), with a = 5.5006 Å, b = 5.5006 Å, c = 5.2223 Å, α = 90.00°, β = 90.00° and γ = 90.00°. Symmetry generates all atoms from Ca at (0.0000, 0.0000, 0.0000), W at (0.5000, 0.5000, 0.5000), Se at (0.0000, 0.5000, 0.0000) and Br at (0.0000, 0.0000, 0.5000).

Its energy relative to the elements, uncorrected is 767 meV/atom. The total moment comes out at 3.00 μB per cell. The energy above the lowest structure with this stoichiometry comes out at 1113 meV per atom. As for the crystal system: tetragonal.



6.
Material: KAu6
Method: DFT, PBE
State: optimized geometry

It has space group Im-3m (No. 229), with a = 7.5575 Å, b = 7.5575 Å, c = 7.5575 Å, α = 90.00°, β = 90.00° and γ = 90.00°. Symmetry generates all atoms from K at (0.0000, 0.0000, 0.0000) and Au at (0.0000, 0.2500, 0.5000).

The total moment comes out at 0.00 μB per cell. The energy above the lowest structure with this stoichiometry comes out at 274 meV per atom. As for the crystal system: cubic.



7.
Material: Sr2ScBe
Method: DFT, PBE
State: optimized geometry

It has space group Amm2 (No. 38), with a = 4.6069 Å, b = 4.2829 Å, c = 13.6122 Å, α = 90.00°, β = 90.00° and γ = 90.00°. Symmetry generates all atoms from Sr at (0.0000, 0.0000, 0.0000), Sr at (0.5000, 0.0000, 0.3060), Sc at (0.0000, 0.0000, 0.6959) and Be at (0.5000, 0.0000, 0.5979).

The total moment comes out at 1.87 μB per cell. The total energy is -11.63 eV per formula unit. As for the crystal system: orthorhombic.



8.
Material: CaY2AgH
Method: DFT, PBE
State: optimized geometry

It has space group P4/mmm (No. 123), with a = 4.7190 Å, b = 4.7190 Å, c = 5.1786 Å, α = 90.00°, β = 90.00° and γ = 90.00°. Symmetry generates all atoms from Ca at (0.0000, 0.0000, 0.0000), Y at (0.0000, 0.5000, 0.5000), Ag at (0.5000, 0.5000, 0.0000) and H at (0.0000, 0.0000, 0.5000).

The total moment comes out at 1.28 μB per cell. The total energy is -21.76 eV per formula unit. As for the crystal system: tetragonal.



9.
Material: SrMg2Cu2Sn2
Method: DFT, PBE
State: optimized geometry

It has space group R-3m (No. 166, hexagonal axes), with a = 4.5474 Å, b = 4.5474 Å, c = 26.6948 Å, α = 90.00°, β = 90.00° and γ = 120.00°. Symmetry generates all atoms from Sr at (0.0000, 0.0000, 0.0000), Mg at (0.0000, 0.0000, 0.1377), Cu at (0.0000, 0.0000, 0.4399) and Sn at (0.0000, 0.0000, 0.2511).

The total moment comes out at 0.00 μB per cell. The total energy is -23.22 eV per formula unit. As for the crystal system: trigonal.



10.
Material: SbI2O
Method: DFT, PBE
State: optimized geometry

It has space group Cm (No. 8), with a = 5.9071 Å, b = 4.2276 Å, c = 9.9184 Å, α = 90.00°, β = 92.16° and γ = 90.00°. Symmetry generates all atoms from Sb at (0.0000, 0.0000, 0.0000), I at (0.1151, 0.5000, 0.7255), I at (0.4714, 0.5000, 0.3044) and O at (0.3451, 0.0000, 0.0284).

Its energy relative to the elements, uncorrected is -356 meV/atom. The total moment comes out at 0.00 μB per cell. The energy above the lowest structure with this stoichiometry comes out at 0 meV per atom. As for the crystal system: monoclinic.



11.
Material: YAg2Au
Method: DFT, PBE
State: optimized geometry

It has space group P4/mmm (No. 123), with a = 4.2322 Å, b = 4.2322 Å, c = 4.7205 Å, α = 90.00°, β = 90.00° and γ = 90.00°. Symmetry generates all atoms from Y at (0.0000, 0.0000, 0.0000), Ag at (0.0000, 0.5000, 0.5000) and Au at (0.5000, 0.5000, 0.0000).

The total moment comes out at 0.00 μB per cell. The energy above the lowest structure with this stoichiometry comes out at 117 meV per atom. As for the crystal system: tetragonal.



12.
Material: Na3Tl2Hg2
Method: DFT, PBE
State: optimized geometry

It has space group C2/m (No. 12), with a = 9.7265 Å, b = 5.0563 Å, c = 7.9383 Å, α = 90.00°, β = 105.52° and γ = 90.00°. Symmetry generates all atoms from Na at (0.0000, 0.0000, 0.0000), Na at (0.1419, 0.0000, 0.4256), Tl at (0.0741, 0.5000, 0.7368) and Hg at (0.2199, 0.5000, 0.1691).

The total moment comes out at 0.00 μB per cell. The energy above the lowest structure with this stoichiometry comes out at 0 meV per atom. As for the crystal system: monoclinic.



13.
Material: CeBiPb
Method: DFT, PBE
State: optimized geometry

It has space group I4mm (No. 107), with a = 4.2667 Å, b = 4.2667 Å, c = 10.5157 Å, α = 90.00°, β = 90.00° and γ = 90.00°. Symmetry generates all atoms from Ce at (0.0000, 0.0000, 0.0000), Bi at (0.0000, 0.0000, 0.6365) and Pb at (0.0000, 0.0000, 0.3377).

The total moment comes out at 1.99 μB per cell. The energy above the lowest structure with this stoichiometry comes out at 208 meV per atom. As for the crystal system: tetragonal.



14.
Material: In2BiH
Method: DFT, PBE
State: optimized geometry

It has space group I-42d (No. 122), with a = 5.6828 Å, b = 5.6828 Å, c = 12.8592 Å, α = 90.00°, β = 90.00° and γ = 90.00°. Symmetry generates all atoms from In at (0.1143, 0.2500, 0.1250), Bi at (0.0000, 0.0000, 0.5000) and H at (0.0000, 0.0000, 0.0000).

The total moment comes out at 0.00 μB per cell. The energy above the lowest structure with this stoichiometry comes out at 0 meV per atom. As for the crystal system: tetragonal.